Density functional theory data (GGA+U) for crystalline CoOsO4 at its relaxed geometry.

The total moment comes out at 1.98 μB/f.u. Its density of states at the Fermi level is 0.5810 states/eV/atom. The total energy is -7.01 eV/atom.

The space group is Pnc2 (No. 30) and the conventional cell measures 5.128, 4.509 and 5.617 Å, with angles of 90.00, 90.00 and 90.00 degrees. The inequivalent atoms are Co at (0.000, 0.000, 0.000), Os at (0.500, 0.000, 0.306), O at (0.186, 0.216, 0.281) and O at (0.349, 0.744, 0.543).